The following is a DFT calculation (meta-GGA SCAN) of a crystal of ZrBe2Sb relaxed with PBEsol.

abc: 3.7319 4.0447 4.0447
angles: 90.00 90.00 90.00
With the nearest neighbours (Å) after each atom.
Atoms (fractional coordinates):
Sb 0.5000 0.5000 0.5000  8 Be 2.75, 4 Zr 2.86
Be 0.0000 0.5000 0.0000  4 Sb 2.75, 4 Zr 2.75, 4 Be 2.86
Be 0.0000 0.0000 0.5000  4 Zr 2.75, 4 Sb 2.75, 4 Be 2.86
Zr 0.5000 0.0000 0.0000  8 Be 2.75, 4 Sb 2.86

Calculated values
Total DFT energy (no corrections) (eV per atom): -19.24

=====

The following is a DFT calculation (meta-GGA SCAN) of a crystal of CsRuBr2 relaxed with PBEsol.

abc: 5.3687 5.3687 5.3687
angles: 60.00 60.00 60.00
With the nearest neighbours (Å) after each atom.
Atoms (fractional coordinates):
Ru 0.0000 0.0000 0.0000  8 Br 3.29
Br 0.7500 0.7500 0.7500  4 Ru 3.29, 4 Cs 3.29
Cs 0.5000 0.5000 0.5000  8 Br 3.29
Br 0.2500 0.2500 0.2500  4 Ru 3.29, 4 Cs 3.29

Calculated values
Total DFT energy (no corrections) (eV per atom): -28.02

=====

The following is a DFT calculation (meta-GGA SCAN) of a crystal of Li3TiB2O6 relaxed with PBEsol.

abc: 5.1513 8.8801 9.6521
angles: 90.00 90.45 90.00
With the nearest neighbours (Å) after each atom.
Atoms (fractional coordinates):
O 0.1825 0.0458 0.8807  1 B 1.37
O 0.7016 0.7961 0.8357  1 B 1.38
O 0.3175 0.5458 0.6193  1 B 1.37
O 0.2029 0.9707 0.3635  1 B 1.39
O 0.1001 0.3349 0.4036  1 B 1.39
Li 0.1609 0.0203 0.6697  4 O 1.90-2.05
B 0.1660 0.3336 0.1294  3 O 1.38-1.39
B 0.3345 0.1729 0.8791  3 O 1.37-1.40
Li 0.1767 0.0120 0.0968  4 O 1.93-2.11
Ti 0.8451 0.3329 0.8761  5 O 1.90-2.08
O 0.2016 0.7039 0.3357  1 B 1.38
O 0.2971 0.4707 0.1365  1 B 1.39
Ti 0.6549 0.8329 0.6239  5 O 1.90-2.08
B 0.8340 0.6664 0.8706  3 O 1.38-1.39
Li 0.6609 0.4797 0.1697  4 O 1.90-2.05
B 0.1655 0.6729 0.6209  3 O 1.37-1.40
Ti 0.1549 0.6671 0.1239  5 O 1.90-2.08
O 0.6825 0.4542 0.3807  1 B 1.37
O 0.7029 0.5293 0.8635  1 B 1.39
O 0.9072 0.3318 0.0882  1 B 1.39
Ti 0.3451 0.1671 0.3761  5 O 1.90-2.08
Li 0.8391 0.9797 0.3303  4 O 1.90-2.05
Li 0.1693 0.3382 0.6208  4 O 1.97-2.12
Li 0.8233 0.9880 0.9032  4 O 1.93-2.11
O 0.4072 0.1682 0.5882  1 B 1.39
O 0.7769 0.6866 0.1481  1 B 1.40
O 0.3999 0.8349 0.0964  1 B 1.39
Li 0.3233 0.5120 0.4032  4 O 1.93-2.11
Li 0.3307 0.8382 0.8792  4 O 1.97-2.12
Li 0.8307 0.6618 0.3792  4 O 1.97-2.12
O 0.0928 0.6682 0.9118  1 B 1.39
O 0.7971 0.0293 0.6365  1 B 1.39
B 0.3340 0.8336 0.3706  3 O 1.38-1.39
O 0.7231 0.1866 0.3519  1 B 1.40
B 0.6660 0.1664 0.6294  3 O 1.38-1.39
O 0.5928 0.8318 0.4118  1 B 1.39
O 0.8175 0.9542 0.1193  1 B 1.37
B 0.6655 0.8271 0.1209  3 O 1.37-1.40
O 0.6001 0.1651 0.9036  1 B 1.39
B 0.8345 0.3271 0.3791  3 O 1.37-1.40
Li 0.3391 0.5203 0.8303  4 O 1.90-2.05
O 0.2231 0.3134 0.8519  1 B 1.40
O 0.2769 0.8134 0.6481  1 B 1.40
O 0.8999 0.6651 0.5964  1 B 1.39
Li 0.6767 0.4880 0.5968  4 O 1.93-2.11
O 0.2984 0.2039 0.1643  1 B 1.38
Li 0.6693 0.1618 0.1208  4 O 1.97-2.12
O 0.7984 0.2961 0.6643  1 B 1.38

Calculated values
Total DFT energy (no corrections) (eV per atom): -8.93

=====

The following is a DFT calculation (meta-GGA SCAN) of a crystal of Ag2SnBiSe4 relaxed with PBEsol.

abc: 4.0446 4.0446 13.3360
angles: 81.28 81.28 60.00
With the nearest neighbours (Å) after each atom.
Atoms (fractional coordinates):
Bi 0.9951 0.9951 0.0148  6 Se 2.92-2.98
Se 0.3755 0.3755 0.8735  3 Bi 2.98, 3 Sn 3.02
Se 0.1317 0.1317 0.6048  3 Sn 2.84, 3 Ag 2.84
Sn 0.7575 0.7575 0.7276  6 Se 2.84-3.02
Ag 0.5062 0.5062 0.4813  6 Se 2.71-2.84
Se 0.8746 0.8746 0.3761  6 Ag 2.69-2.71
Se 0.6174 0.6174 0.1477  3 Ag 2.87, 3 Bi 2.92
Ag 0.2419 0.2419 0.2742  6 Se 2.69-2.87

Calculated values
Total DFT energy (no corrections) (eV per atom): -32.39

=====

Please write out number 2 again, unchanged.
The following is a DFT calculation (meta-GGA SCAN) of a crystal of CsRuBr2 relaxed with PBEsol.

abc: 5.3687 5.3687 5.3687
angles: 60.00 60.00 60.00
With the nearest neighbours (Å) after each atom.
Atoms (fractional coordinates):
Ru 0.0000 0.0000 0.0000  8 Br 3.29
Br 0.7500 0.7500 0.7500  4 Ru 3.29, 4 Cs 3.29
Cs 0.5000 0.5000 0.5000  8 Br 3.29
Br 0.2500 0.2500 0.2500  4 Ru 3.29, 4 Cs 3.29

Calculated values
Total DFT energy (no corrections) (eV per atom): -28.02

=====

Please write out number 4 again, unchanged.
The following is a DFT calculation (meta-GGA SCAN) of a crystal of Ag2SnBiSe4 relaxed with PBEsol.

abc: 4.0446 4.0446 13.3360
angles: 81.28 81.28 60.00
With the nearest neighbours (Å) after each atom.
Atoms (fractional coordinates):
Bi 0.9951 0.9951 0.0148  6 Se 2.92-2.98
Se 0.3755 0.3755 0.8735  3 Bi 2.98, 3 Sn 3.02
Se 0.1317 0.1317 0.6048  3 Sn 2.84, 3 Ag 2.84
Sn 0.7575 0.7575 0.7276  6 Se 2.84-3.02
Ag 0.5062 0.5062 0.4813  6 Se 2.71-2.84
Se 0.8746 0.8746 0.3761  6 Ag 2.69-2.71
Se 0.6174 0.6174 0.1477  3 Ag 2.87, 3 Bi 2.92
Ag 0.2419 0.2419 0.2742  6 Se 2.69-2.87

Calculated values
Total DFT energy (no corrections) (eV per atom): -32.39

=====

- Among the records above, which one has the highest total DFT energy (no corrections)?
  Li3TiB2O6